# CsSr2MgNi, relaxed, DFT PBE-GGA
# ΔH_f (0 K), eV/atom: 0.14
data_CsSr2MgNi
_chemical_formula_sum 'Cs1 Sr2 Mg1 Ni1'
_space_group_name_H-M_alt 'P 4/m m m'
_space_group_IT_number 123
_space_group_name_Hall '-P 4 2'
_cell_length_a 6.0153
_cell_length_b 6.0153
_cell_length_c 5.3893
_cell_angle_alpha 90.00
_cell_angle_beta 90.00
_cell_angle_gamma 90.00
loop_
_atom_site_label
_atom_site_fract_x
_atom_site_fract_y
_atom_site_fract_z
Cs1 0.0000 0.0000 0.0000
Sr1 0.0000 0.5000 0.5000
Mg1 0.5000 0.5000 0.0000
Ni1 0.5000 0.5000 0.5000



# PmErAlSi, relaxed, DFT PBE-GGA
# Raw formation energy, meV per atom: -352
# Energy above the lowest structure with this stoichiometry, meV/atom: 273
data_PmErAlSi
_chemical_formula_sum 'Pm4 Er4 Al4 Si4'
_space_group_name_H-M_alt 'F -4 3 m'
_space_group_IT_number 216
_space_group_name_Hall 'F -4 2 3'
_cell_length_a 7.1913
_cell_length_b 7.1913
_cell_length_c 7.1913
_cell_angle_alpha 90.00
_cell_angle_beta 90.00
_cell_angle_gamma 90.00
loop_
_atom_site_label
_atom_site_fract_x
_atom_site_fract_y
_atom_site_fract_z
Pm1 0.0000 0.0000 0.0000
Er1 0.0000 0.0000 0.5000
Al1 0.2500 0.2500 0.7500
Si1 0.2500 0.2500 0.2500



# ScCrMo2, relaxed, DFT PBE-GGA
# ΔH_f (0 K), eV/atom: 0.15
# Energy above the lowest structure with this stoichiometry, meV/atom: 25
data_ScCrMo2
_chemical_formula_sum 'Sc1 Cr1 Mo2'
_space_group_name_H-M_alt 'P 4 m m'
_space_group_IT_number 99
_cell_length_a 3.1133
_cell_length_b 3.1133
_cell_length_c 6.6720
_cell_angle_alpha 90.00
_cell_angle_beta 90.00
_cell_angle_gamma 90.00
loop_
_space_group_symop_operation_xyz
'x,y,z'
'-y,x,z'
'-x,-y,z'
'y,-x,z'
'-x,y,z'
'y,x,z'
'x,-y,z'
'-y,-x,z'
loop_
_atom_site_label
_atom_site_fract_x
_atom_site_fract_y
_atom_site_fract_z
Sc1 0.0000 0.0000 0.0000
Cr1 0.5000 0.5000 0.2732
Mo1 0.0000 0.0000 0.4788
Mo2 0.5000 0.5000 0.7130



# Ni5B2Mo4, relaxed, DFT PBE-GGA
# ΔH_f (0 K), eV/atom: -0.05
data_Ni5B2Mo4
_chemical_formula_sum 'Ni5 B2 Mo4'
_space_group_name_H-M_alt 'P 1 2/m 1'
_space_group_IT_number 10
_cell_length_a 6.0709
_cell_length_b 3.0328
_cell_length_c 7.2173
_cell_angle_alpha 90.00
_cell_angle_beta 96.37
_cell_angle_gamma 90.00
loop_
_space_group_symop_operation_xyz
'x,y,z'
'-x,-y,-z'
'-x,y,-z'
'x,-y,z'
loop_
_atom_site_label
_atom_site_fract_x
_atom_site_fract_y
_atom_site_fract_z
Ni1 0.0000 0.0000 0.0000
Ni2 0.0339 0.0000 0.3328
Ni3 0.3477 0.0000 0.8628
B1 0.4391 0.0000 0.3784
Mo1 0.2787 0.5000 0.5588
Mo2 0.3115 0.5000 0.1606



# ScCu2Si, relaxed, DFT PBE-GGA
# Raw formation energy, meV per atom: -269
data_ScCu2Si
_chemical_formula_sum 'Sc1 Cu2 Si1'
_space_group_name_H-M_alt 'P 1 2/m 1'
_space_group_IT_number 10
_cell_length_a 3.0692
_cell_length_b 4.1668
_cell_length_c 4.8934
_cell_angle_alpha 90.00
_cell_angle_beta 90.35
_cell_angle_gamma 90.00
loop_
_space_group_symop_operation_xyz
'x,y,z'
'-x,-y,-z'
'-x,y,-z'
'x,-y,z'
loop_
_atom_site_label
_atom_site_fract_x
_atom_site_fract_y
_atom_site_fract_z
Sc1 0.0000 0.0000 0.0000
Cu1 0.4957 0.5000 0.7520
Si1 0.5000 0.0000 0.5000



# Nb6TcW5, relaxed, DFT PBE-GGA
# ΔH_f (0 K), eV/atom: -0.10
data_Nb6TcW5
_chemical_formula_sum 'Nb12 Tc2 W10'
_space_group_name_H-M_alt 'I m m m'
_space_group_IT_number 71
_space_group_name_Hall '-I 2 2'
_cell_length_a 4.5655
_cell_length_b 6.4702
_cell_length_c 13.7537
_cell_angle_alpha 90.00
_cell_angle_beta 90.00
_cell_angle_gamma 90.00
loop_
_atom_site_label
_atom_site_fract_x
_atom_site_fract_y
_atom_site_fract_z
Nb1 0.0000 0.2485 0.0000
Nb2 0.0000 0.2508 0.3342
Tc1 0.0000 0.5000 0.5000
W1 0.0000 0.0000 0.1670
W2 0.0000 0.0000 0.5000
W3 0.0000 0.5000 0.1662



# LiCu2PdPt, relaxed, DFT PBE-GGA
# ΔH_f (0 K), eV/atom: -0.21
data_LiCu2PdPt
_chemical_formula_sum 'Li4 Cu8 Pd4 Pt4'
_space_group_name_H-M_alt 'C 1 2/m 1'
_space_group_IT_number 12
_cell_length_a 13.2785
_cell_length_b 4.1572
_cell_length_c 5.2185
_cell_angle_alpha 90.00
_cell_angle_beta 109.68
_cell_angle_gamma 90.00
loop_
_space_group_symop_operation_xyz
'x,y,z'
'-x,-y,-z'
'-x,y,-z'
'x,-y,z'
'x+1/2,y+1/2,z'
'-x+1/2,-y+1/2,-z'
'-x+1/2,y+1/2,-z'
'x+1/2,-y+1/2,z'
loop_
_atom_site_label
_atom_site_fract_x
_atom_site_fract_y
_atom_site_fract_z
Li1 0.1012 0.0000 0.1247
Cu1 0.1948 0.5000 0.0156
Cu2 0.2104 0.5000 0.5375
Pd1 0.0104 0.5000 0.2594
Pt1 0.1116 0.0000 0.6391



# Cs2Tl5Au, relaxed, DFT PBE-GGA
# ΔH_f (0 K), eV/atom: -0.10
data_Cs2Tl5Au
_chemical_formula_sum 'Cs8 Tl20 Au4'
_space_group_name_H-M_alt 'C m c m'
_space_group_IT_number 63
_space_group_name_Hall '-C 2c 2'
_cell_length_a 5.4755
_cell_length_b 19.7357
_cell_length_c 11.1903
_cell_angle_alpha 90.00
_cell_angle_beta 90.00
_cell_angle_gamma 90.00
loop_
_atom_site_label
_atom_site_fract_x
_atom_site_fract_y
_atom_site_fract_z
Cs1 0.0000 0.0000 0.0000
Cs2 0.0000 0.1893 0.2500
Tl1 0.0000 0.1863 0.6123
Tl2 0.0000 0.3484 0.5253
Tl3 0.0000 0.4119 0.2500
Au1 0.0000 0.4382 0.7500



# Mg2SbBr, relaxed, DFT PBE-GGA
# Raw formation energy, meV per atom: -366
# Energy above the lowest structure with this stoichiometry, meV/atom: 268
data_Mg2SbBr
_chemical_formula_sum 'Mg8 Sb4 Br4'
_space_group_name_H-M_alt 'F m -3 m'
_space_group_IT_number 225
_space_group_name_Hall '-F 4 2 3'
_cell_length_a 7.3144
_cell_length_b 7.3144
_cell_length_c 7.3144
_cell_angle_alpha 90.00
_cell_angle_beta 90.00
_cell_angle_gamma 90.00
loop_
_atom_site_label
_atom_site_fract_x
_atom_site_fract_y
_atom_site_fract_z
Mg1 0.2500 0.2500 0.2500
Sb1 0.0000 0.0000 0.0000
Br1 0.0000 0.0000 0.5000



# TbScTlCo, relaxed, DFT PBE-GGA
# ΔH_f (0 K), eV/atom: -0.12
# Energy above the lowest structure with this stoichiometry, meV/atom: 154
data_TbScTlCo
_chemical_formula_sum 'Tb4 Sc4 Tl4 Co4'
_space_group_name_H-M_alt 'F -4 3 m'
_space_group_IT_number 216
_space_group_name_Hall 'F -4 2 3'
_cell_length_a 7.0353
_cell_length_b 7.0353
_cell_length_c 7.0353
_cell_angle_alpha 90.00
_cell_angle_beta 90.00
_cell_angle_gamma 90.00
loop_
_atom_site_label
_atom_site_fract_x
_atom_site_fract_y
_atom_site_fract_z
Tb1 0.0000 0.0000 0.0000
Sc1 0.0000 0.0000 0.5000
Tl1 0.2500 0.2500 0.7500
Co1 0.2500 0.2500 0.2500



# YIr2Cl, relaxed, DFT PBE-GGA
# Raw formation energy, meV per atom: 109
# Energy above the lowest structure with this stoichiometry, meV/atom: 661
data_YIr2Cl
_chemical_formula_sum 'Y4 Ir8 Cl4'
_space_group_name_H-M_alt 'F -4 3 m'
_space_group_IT_number 216
_space_group_name_Hall 'F -4 2 3'
_cell_length_a 6.6470
_cell_length_b 6.6470
_cell_length_c 6.6470
_cell_angle_alpha 90.00
_cell_angle_beta 90.00
_cell_angle_gamma 90.00
loop_
_atom_site_label
_atom_site_fract_x
_atom_site_fract_y
_atom_site_fract_z
Y1 0.0000 0.0000 0.0000
Ir1 0.0000 0.0000 0.5000
Ir2 0.2500 0.2500 0.7500
Cl1 0.2500 0.2500 0.2500



# KSr2Ca, relaxed, DFT PBE-GGA
# ΔH_f (0 K), eV/atom: 0.10
# Energy above the lowest structure with this stoichiometry, meV/atom: 39
data_KSr2Ca
_chemical_formula_sum 'K1 Sr2 Ca1'
_space_group_name_H-M_alt 'P 1 m 1'
_space_group_IT_number 6
_cell_length_a 4.0886
_cell_length_b 6.6612
_cell_length_c 8.1050
_cell_angle_alpha 90.00
_cell_angle_beta 101.75
_cell_angle_gamma 90.00
loop_
_space_group_symop_operation_xyz
'x,y,z'
'x,-y,z'
loop_
_atom_site_label
_atom_site_fract_x
_atom_site_fract_y
_atom_site_fract_z
K1 0.0000 0.0000 0.0000
Sr1 0.4618 0.0000 0.5116
Sr2 0.7451 0.5000 0.2547
Ca1 0.1743 0.5000 0.7407



# Re13Ru2, relaxed, DFT PBE-GGA
# ΔH_f (0 K), eV/atom: 0.71
data_Re13Ru2
_chemical_formula_sum 'Re39 Ru6'
_space_group_name_H-M_alt 'R -3 m'
_space_group_IT_number 166
_space_group_name_Hall '-R 3 2"'
_cell_length_a 7.0349
_cell_length_b 7.0349
_cell_length_c 16.9219
_cell_angle_alpha 90.00
_cell_angle_beta 90.00
_cell_angle_gamma 120.00
loop_
_atom_site_label
_atom_site_fract_x
_atom_site_fract_y
_atom_site_fract_z
Re1 0.0000 0.0000 0.0000
Re2 0.0753 0.5376 0.2372
Re3 0.0793 0.5397 0.3893
Ru1 0.0000 0.0000 0.1532



# BaSbTe2Mo, relaxed, DFT PBE-GGA
# Raw formation energy, meV per atom: -287
# Energy above the lowest structure with this stoichiometry, meV/atom: 0
data_BaSbTe2Mo
_chemical_formula_sum 'Ba1 Sb1 Te2 Mo1'
_space_group_name_H-M_alt 'P 4/m m m'
_space_group_IT_number 123
_space_group_name_Hall '-P 4 2'
_cell_length_a 5.5944
_cell_length_b 5.5944
_cell_length_c 5.2203
_cell_angle_alpha 90.00
_cell_angle_beta 90.00
_cell_angle_gamma 90.00
loop_
_atom_site_label
_atom_site_fract_x
_atom_site_fract_y
_atom_site_fract_z
Ba1 0.0000 0.0000 0.0000
Sb1 0.5000 0.5000 0.0000
Te1 0.0000 0.5000 0.5000
Mo1 0.5000 0.5000 0.5000



# PmErSnHg, relaxed, DFT PBE-GGA
# ΔH_f (0 K), eV/atom: -0.58
# Energy above the lowest structure with this stoichiometry, meV/atom: 0
data_PmErSnHg
_chemical_formula_sum 'Pm2 Er2 Sn2 Hg2'
_space_group_name_H-M_alt 'A m m 2'
_space_group_IT_number 38
_cell_length_a 4.4391
_cell_length_b 4.4159
_cell_length_c 11.5300
_cell_angle_alpha 90.00
_cell_angle_beta 90.00
_cell_angle_gamma 90.00
loop_
_space_group_symop_operation_xyz
'x,y,z'
'-x,-y,z'
'-x,y,z'
'x,-y,z'
'x,y+1/2,z+1/2'
'-x,-y+1/2,z+1/2'
'-x,y+1/2,z+1/2'
'x,-y+1/2,z+1/2'
loop_
_atom_site_label
_atom_site_fract_x
_atom_site_fract_y
_atom_site_fract_z
Pm1 0.0000 0.0000 0.0000
Er1 0.5000 0.0000 0.7232
Sn1 0.0000 0.0000 0.2751
Hg1 0.5000 0.0000 0.4511



# Tb4Pm2Mg, relaxed, DFT PBE-GGA
# ΔH_f (0 K), eV/atom: 0.16
# Energy above the lowest structure with this stoichiometry, meV/atom: 0
data_Tb4Pm2Mg
_chemical_formula_sum 'Tb8 Pm4 Mg2'
_space_group_name_H-M_alt 'P 1 21/c 1'
_space_group_IT_number 14
_cell_length_a 6.2688
_cell_length_b 12.5673
_cell_length_c 6.4987
_cell_angle_alpha 90.00
_cell_angle_beta 117.17
_cell_angle_gamma 90.00
loop_
_space_group_symop_operation_xyz
'x,y,z'
'-x,-y,-z'
'-x,y+1/2,-z+1/2'
'x,-y+1/2,z+1/2'
loop_
_atom_site_label
_atom_site_fract_x
_atom_site_fract_y
_atom_site_fract_z
Tb1 0.0681 0.1670 0.3532
Tb2 0.4207 0.7271 0.6783
Pm1 0.1893 0.0655 0.9108
Mg1 0.5000 0.0000 0.5000



# Cd3CuRh3O8, relaxed, DFT PBE-GGA
# Raw formation energy, meV per atom: -569
data_Cd3CuRh3O8
_chemical_formula_sum 'Cd6 Cu2 Rh6 O16'
_space_group_name_H-M_alt 'C 1 2/m 1'
_space_group_IT_number 12
_cell_length_a 11.1464
_cell_length_b 6.1686
_cell_length_c 6.4253
_cell_angle_alpha 90.00
_cell_angle_beta 122.07
_cell_angle_gamma 90.00
loop_
_space_group_symop_operation_xyz
'x,y,z'
'-x,-y,-z'
'-x,y,-z'
'x,-y,z'
'x+1/2,y+1/2,z'
'-x+1/2,-y+1/2,-z'
'-x+1/2,y+1/2,-z'
'x+1/2,-y+1/2,z'
loop_
_atom_site_label
_atom_site_fract_x
_atom_site_fract_y
_atom_site_fract_z
Cd1 0.0000 0.0000 0.0000
Cd2 0.2500 0.2500 0.0000
Cu1 0.0000 0.0000 0.5000
Rh1 0.0000 0.5000 0.5000
Rh2 0.2500 0.2500 0.5000
O1 0.0286 0.2330 0.3185
O2 0.2222 0.5000 0.6909
O3 0.2371 0.5000 0.2588



# CaZrGa3, relaxed, DFT PBE-GGA
# ΔH_f (0 K), eV/atom: 0.90
# Energy above the lowest structure with this stoichiometry, meV/atom: 839
data_CaZrGa3
_chemical_formula_sum 'Ca1 Zr1 Ga3'
_space_group_name_H-M_alt 'P m -3 m'
_space_group_IT_number 221
_space_group_name_Hall '-P 4 2 3'
_cell_length_a 5.0747
_cell_length_b 5.0747
_cell_length_c 5.0747
_cell_angle_alpha 90.00
_cell_angle_beta 90.00
_cell_angle_gamma 90.00
loop_
_atom_site_label
_atom_site_fract_x
_atom_site_fract_y
_atom_site_fract_z
Ca1 0.0000 0.0000 0.0000
Zr1 0.5000 0.5000 0.5000
Ga1 0.0000 0.0000 0.5000



# ZrIn4Si, relaxed, DFT PBE-GGA
# Raw formation energy, meV per atom: 346
data_ZrIn4Si
_chemical_formula_sum 'Zr4 In16 Si4'
_space_group_name_H-M_alt 'F -4 3 m'
_space_group_IT_number 216
_space_group_name_Hall 'F -4 2 3'
_cell_length_a 8.2415
_cell_length_b 8.2415
_cell_length_c 8.2415
_cell_angle_alpha 90.00
_cell_angle_beta 90.00
_cell_angle_gamma 90.00
loop_
_atom_site_label
_atom_site_fract_x
_atom_site_fract_y
_atom_site_fract_z
Zr1 0.0000 0.0000 0.0000
In1 0.1249 0.1249 0.6249
Si1 0.2500 0.2500 0.2500